[1]
This record from Alexandria via LeMat-Bulk describes a relaxed structure of NbFeSb2Te. The functional is PBE.

Cell lengths 5.378, 5.378, 5.335 Å; angles 90.00, 90.00, 90.00 degrees
Space group P4/mmm (No. 123)
Symmetry-distinct sites (fractional):
Nb 0.000 0.000 0.000 (multiplicity 1)
Fe 0.500 0.500 0.500 (multiplicity 1)
Sb 0.000 0.500 0.000 (multiplicity 2)
Te 0.000 0.000 0.500 (multiplicity 1)

Properties
- Uncorrected formation energy: 0.873 eV/atom
- Polymorph energy (0 for the lowest one): 0.107 eV per atom

---

[2]
This record from Alexandria via LeMat-Bulk describes a relaxed structure of NbFeSb2Te. The functional is PBE.

Cell lengths 4.751, 4.751, 5.445 Å; angles 90.00, 90.00, 90.00 degrees
Space group P4/mmm (No. 123)
Symmetry-distinct sites (fractional):
Nb 0.000 0.000 0.000 (multiplicity 1)
Fe 0.500 0.500 0.500 (multiplicity 1)
Sb 0.000 0.500 0.500 (multiplicity 2)
Te 0.500 0.500 0.000 (multiplicity 1)

Properties
- Uncorrected formation energy: 0.766 eV/atom
- Polymorph energy (0 for the lowest one): 0.000 eV per atom

---

[3]
This record from Alexandria via LeMat-Bulk describes a relaxed structure of NbTlFe2Sb. The functional is PBE.

Cell lengths 4.534, 4.534, 5.490 Å; angles 90.00, 90.00, 90.00 degrees
Space group P4/mmm (No. 123)
Symmetry-distinct sites (fractional):
Nb 0.000 0.000 0.000 (multiplicity 1)
Tl 0.500 0.500 0.000 (multiplicity 1)
Fe 0.000 0.500 0.500 (multiplicity 2)
Sb 0.500 0.500 0.500 (multiplicity 1)

Properties
- Uncorrected formation energy: 1.743 eV/atom

---

[4]
This record from Alexandria via LeMat-Bulk describes a relaxed structure of NbZnFeSb2. The functional is PBE.

Cell lengths 4.768, 4.768, 4.788 Å; angles 90.00, 90.00, 90.00 degrees
Space group P4/mmm (No. 123)
Symmetry-distinct sites (fractional):
Nb 0.000 0.000 0.000 (multiplicity 1)
Zn 0.500 0.500 0.000 (multiplicity 1)
Fe 0.000 0.000 0.500 (multiplicity 1)
Sb 0.000 0.500 0.500 (multiplicity 2)

Properties
- Uncorrected formation energy: 0.616 eV/atom

---

[5]
This record from Alexandria via LeMat-Bulk describes a relaxed structure of Zr2NbFeSb. The functional is PBE.

Cell lengths 5.201, 5.201, 4.389 Å; angles 90.00, 90.00, 90.00 degrees
Space group P4/mmm (No. 123)
Symmetry-distinct sites (fractional):
Zr 0.000 0.500 0.000 (multiplicity 2)
Nb 0.000 0.000 0.000 (multiplicity 1)
Fe 0.000 0.000 0.500 (multiplicity 1)
Sb 0.500 0.500 0.500 (multiplicity 1)

Properties
- Uncorrected formation energy: 0.796 eV/atom

---

[6]
This record from Alexandria via LeMat-Bulk describes a relaxed structure of Sc2NbFe2. The functional is PBE.

Cell lengths 6.244, 6.244, 4.364 Å; angles 90.00, 90.00, 90.00 degrees
Space group P4/mbm (No. 127)
Symmetry-distinct sites (fractional):
Sc 0.178 0.322 0.000 (multiplicity 4)
Nb 0.000 0.000 0.500 (multiplicity 2)
Fe 0.121 0.621 0.500 (multiplicity 4)

Properties
- E_form: -62 meV per atom

---

[7]
This record from Alexandria via LeMat-Bulk describes a relaxed structure of Sc2Nb2Fe. The functional is PBE.

Cell lengths 6.293, 6.293, 4.879 Å; angles 90.00, 90.00, 90.00 degrees
Space group P4/mbm (No. 127)
Symmetry-distinct sites (fractional):
Sc 0.168 0.332 0.000 (multiplicity 4)
Nb 0.151 0.651 0.500 (multiplicity 4)
Fe 0.000 0.000 0.500 (multiplicity 2)

Properties
- E_form: 132 meV per atom

---

[8]
This record from Alexandria via LeMat-Bulk describes a relaxed structure of ScNbFe2. The functional is PBE.

Cell lengths 3.074, 3.074, 6.232 Å; angles 90.00, 90.00, 90.00 degrees
Space group P4/mmm (No. 123)
Symmetry-distinct sites (fractional):
Sc 0.000 0.000 0.000 (multiplicity 1)
Nb 0.000 0.000 0.500 (multiplicity 1)
Fe 0.500 0.500 0.267 (multiplicity 2)

Properties
- E_form: -143 meV per atom

---

[9]
This record from Alexandria via LeMat-Bulk describes a relaxed structure of ScNbFe2. The functional is PBE.

Cell lengths 4.356, 4.356, 3.062 Å; angles 90.00, 90.00, 90.00 degrees
Space group P4/mmm (No. 123)
Symmetry-distinct sites (fractional):
Sc 0.000 0.000 0.000 (multiplicity 1)
Nb 0.500 0.500 0.000 (multiplicity 1)
Fe 0.000 0.500 0.500 (multiplicity 2)

Properties
- E_form: -117 meV per atom

---

[10]
This record from Alexandria via LeMat-Bulk describes a relaxed structure of Sc3NbFe. The functional is PBE.

Cell lengths 4.760, 4.760, 4.760 Å; angles 90.00, 90.00, 90.00 degrees
Space group Pm-3m (No. 221)
Symmetry-distinct sites (fractional):
Sc 0.000 0.000 0.500 (multiplicity 3)
Nb 0.500 0.500 0.500 (multiplicity 1)
Fe 0.000 0.000 0.000 (multiplicity 1)

Properties
- Polymorph energy (0 for the lowest one): 0.000 eV per atom
- E_form: 416 meV per atom

---

[11]
This record from Alexandria via LeMat-Bulk describes a relaxed structure of ScNbFe10. The functional is PBE.

Cell lengths 3.973, 4.761, 8.231 Å; angles 90.00, 90.00, 90.00 degrees
Space group Pmmm (No. 47)
Symmetry-distinct sites (fractional):
Sc 0.000 0.000 0.000 (multiplicity 1)
Nb 0.000 0.500 0.500 (multiplicity 1)
Fe 0.000 0.000 0.338 (multiplicity 2)
Fe 0.000 0.500 0.172 (multiplicity 2)
Fe 0.500 0.000 0.500 (multiplicity 1)
Fe 0.500 0.251 0.254 (multiplicity 4)
Fe 0.500 0.500 0.000 (multiplicity 1)

Properties
- E_form: 15 meV per atom

---

[12]
This record from Alexandria via LeMat-Bulk describes a relaxed structure of Sc3NbFe. The functional is PBE.

Cell lengths 4.941, 4.941, 4.941 Å; angles 90.00, 90.00, 90.00 degrees
Space group Pm-3m (No. 221)
Symmetry-distinct sites (fractional):
Sc 0.000 0.000 0.500 (multiplicity 3)
Nb 0.000 0.000 0.000 (multiplicity 1)
Fe 0.500 0.500 0.500 (multiplicity 1)

Properties
- Polymorph energy (0 for the lowest one): 0.819 eV per atom
- E_form: 1235 meV per atom

---

[13]
This record from Alexandria via LeMat-Bulk describes a relaxed structure of ScNbFe2. The functional is PBE.

Cell lengths 6.758, 6.758, 5.536 Å; angles 90.00, 90.00, 90.00 degrees
Space group I-42d (No. 122)
Symmetry-distinct sites (fractional):
Sc 0.000 0.000 0.000 (multiplicity 4)
Nb 0.000 0.000 0.500 (multiplicity 4)
Fe 0.233 0.250 0.625 (multiplicity 8)

Properties
- E_form: 424 meV per atom

---

[14]
This record from Alexandria via LeMat-Bulk describes a relaxed structure of ScNb2Fe9. The functional is PBE.

Cell lengths 4.8462, 4.8462, 23.4801 Å; angles 90.00, 90.00, 120.00 degrees
Space group R-3m (No. 166, hexagonal axes)
Symmetry-distinct sites (fractional):
Sc 0.0000 0.0000 0.0000 (multiplicity 3)
Nb 0.0000 0.0000 0.1423 (multiplicity 6)
Fe 0.0000 0.0000 0.3334 (multiplicity 6)
Fe 0.0000 0.0000 0.5000 (multiplicity 3)
Fe 0.0037 0.5018 0.9145 (multiplicity 18)

Properties
- E_form: -126 meV per atom

---

[15]
This record from Alexandria via LeMat-Bulk describes a relaxed structure of ScNb3Fe8. The functional is PBE.

Cell lengths 4.8527, 4.8527, 23.7667 Å; angles 90.00, 90.00, 120.00 degrees
Space group R3m (No. 160, hexagonal axes)
Symmetry-distinct sites (fractional):
Sc 0.0000 0.0000 0.0000 (multiplicity 3)
Nb 0.0000 0.0000 0.3759 (multiplicity 3)
Nb 0.0000 0.0000 0.5004 (multiplicity 3)
Nb 0.0000 0.0000 0.8740 (multiplicity 3)
Fe 0.0000 0.0000 0.1872 (multiplicity 3)
Fe 0.0000 0.0000 0.6878 (multiplicity 3)
Fe 0.0000 0.5000 0.9370 (multiplicity 9)
Fe 0.0007 0.5004 0.4383 (multiplicity 9)

Properties
- E_form: -171 meV per atom

---

[16]
This record from Alexandria via LeMat-Bulk describes a relaxed structure of ScNb2FeSi. The functional is PBE.

Cell lengths 4.660, 4.660, 4.728 Å; angles 90.00, 90.00, 90.00 degrees
Space group P4/mmm (No. 123)
Symmetry-distinct sites (fractional):
Sc 0.000 0.000 0.000 (multiplicity 1)
Nb 0.000 0.500 0.000 (multiplicity 2)
Fe 0.500 0.500 0.500 (multiplicity 1)
Si 0.000 0.000 0.500 (multiplicity 1)

Properties
- Uncorrected formation energy: 1.891 eV/atom

---

[17]
This record from Alexandria via LeMat-Bulk describes a relaxed structure of Sc2NbFeW. The functional is PBE.

Cell lengths 4.939, 4.939, 4.297 Å; angles 90.00, 90.00, 90.00 degrees
Space group P4/mmm (No. 123)
Symmetry-distinct sites (fractional):
Sc 0.000 0.500 0.000 (multiplicity 2)
Nb 0.000 0.000 0.000 (multiplicity 1)
Fe 0.000 0.000 0.500 (multiplicity 1)
W 0.500 0.500 0.500 (multiplicity 1)

Properties
- E_form: 1496 meV per atom

---

[18]
This record from Alexandria via LeMat-Bulk describes a relaxed structure of ScNbZnFe2. The functional is PBE.

Cell lengths 4.342, 4.342, 4.571 Å; angles 90.00, 90.00, 90.00 degrees
Space group P4/mmm (No. 123)
Symmetry-distinct sites (fractional):
Sc 0.000 0.000 0.000 (multiplicity 1)
Nb 0.500 0.500 0.000 (multiplicity 1)
Zn 0.000 0.000 0.500 (multiplicity 1)
Fe 0.000 0.500 0.500 (multiplicity 2)

Properties
- E_form: 1195 meV per atom

---

[19]
This record from Alexandria via LeMat-Bulk describes a relaxed structure of Nb3FeSe. The functional is PBE.

Cell lengths 4.629, 4.629, 4.629 Å; angles 90.00, 90.00, 90.00 degrees
Space group Pm-3m (No. 221)
Symmetry-distinct sites (fractional):
Nb 0.000 0.000 0.500 (multiplicity 3)
Fe 0.000 0.000 0.000 (multiplicity 1)
Se 0.500 0.500 0.500 (multiplicity 1)

Properties
- Uncorrected formation energy: 0.656 eV/atom
- Polymorph energy (0 for the lowest one): 0.000 eV per atom

---

[20]
This record from Alexandria via LeMat-Bulk describes a relaxed structure of NbFeSe5. The functional is PBE.

Cell lengths 10.017, 3.484, 10.092 Å; angles 90.00, 111.71, 90.00 degrees
Space group P2_1/m (No. 11)
Symmetry-distinct sites (fractional):
Nb 0.126 0.250 0.208 (multiplicity 2)
Fe 0.396 0.750 0.051 (multiplicity 2)
Se 0.010 0.250 0.683 (multiplicity 2)
Se 0.139 0.750 0.015 (multiplicity 2)
Se 0.246 0.750 0.418 (multiplicity 2)
Se 0.353 0.250 0.875 (multiplicity 2)
Se 0.406 0.250 0.227 (multiplicity 2)

Properties
- Uncorrected formation energy: -0.479 eV/atom

---

Result set for calculated density: 5.60, 7.02, 7.81, 6.98, 6.33, 5.75, 5.70, 7.04, 7.13, 4.37, 7.43, 3.90, 6.56, 7.65, 7.92, 5.09, 6.69, 6.07, 6.92, 5.52 g cm⁻³, one per record in the order listed.
Result set for D(E_F): 6.9, 3.0, 6.3, 4.3, 4.2, 7.2, 1.8, 2.3, 1.5, 4.6, 13.1, 9.7, 4.6, 13.3, 13.1, 6.4, 6.4, 10.6, 8.9, 3.6 states/eV/f.u., one per record in the order listed.